1.
Below is a relaxed structure of MgH3Ir, with properties calculated at the PBE level. Values from VASP.

```
&SYSTEM
  ibrav = 0, nat = 10, ntyp = 3
/
ATOMIC_SPECIES
Mg 24.30 Mg.upf
H 1.01 H.upf
Ir 192.22 Ir.upf
ATOMIC_POSITIONS crystal
Mg 0.0000 0.0000 0.0000
Mg 0.5003 0.5003 0.4996
H 0.0272 0.0272 0.7466
H 0.1857 0.1857 0.5742
H 0.3865 0.3865 0.8335
H 0.6131 0.6131 0.1683
H 0.8144 0.8144 0.4270
H 0.9721 0.9721 0.2534
Ir 0.2140 0.2140 0.8183
Ir 0.7854 0.7854 0.1826
CELL_PARAMETERS angstrom
4.9493 -1.4902 0.0000
4.9493 1.4902 0.0000
-3.3047 0.0000 6.3443
```

Values from the calculation:
The raw total energy comes out at -4.33 eV per atom. The space-group type is Cm, No. 8. The value obtained for the total magnetization is 0.0000 μB per atom.


2.
Below is a relaxed structure of Mg2HIr6, with properties calculated at the PBE level. Values from VASP.

```
&SYSTEM
  ibrav = 0, nat = 9, ntyp = 3
/
ATOMIC_SPECIES
Mg 24.30 Mg.upf
H 1.01 H.upf
Ir 192.22 Ir.upf
ATOMIC_POSITIONS crystal
Mg 0.0000 0.0000 0.0000
Mg 0.4977 0.4860 0.4922
H 0.8360 0.4972 0.8282
Ir 0.0887 0.5919 0.1765
Ir 0.0953 0.5790 0.6583
Ir 0.4885 0.4841 0.0065
Ir 0.5662 0.0682 0.6546
Ir 0.5896 0.0719 0.1610
Ir 0.9865 0.9863 0.5062
CELL_PARAMETERS angstrom
5.2660 0.0000 0.0000
-2.3149 4.7373 0.0000
-1.4558 -2.3490 4.8523
```

Values from the calculation:
As for the energy relative to the lowest polymorph listed for this composition: 0 meV/atom. The raw total energy comes out at -6.81 eV per atom. The space-group type is P1, No. 1. The value obtained for the total magnetization is 0.0000 μB per atom.


3.
Below is a relaxed structure of MgH2Ir2, with properties calculated at the PBE level. Values from VASP.

```
&SYSTEM
  ibrav = 0, nat = 10, ntyp = 3
/
ATOMIC_SPECIES
Mg 24.30 Mg.upf
H 1.01 H.upf
Ir 192.22 Ir.upf
ATOMIC_POSITIONS crystal
Mg 0.0000 0.0000 0.0000
Mg 0.1933 0.6926 0.4996
H 0.0698 0.0830 0.5046
H 0.3017 0.8159 0.2184
H 0.5963 0.6096 0.7183
H 0.6128 0.1265 0.0025
Ir 0.1484 0.4550 0.8780
Ir 0.6167 0.4216 0.3778
Ir 0.6276 0.3341 0.8423
Ir 0.7017 0.9071 0.3434
CELL_PARAMETERS angstrom
5.3270 0.0000 0.0000
-0.2799 5.3277 0.0000
-2.5763 -2.6108 3.8994
```

Values from the calculation:
As for the energy relative to the lowest polymorph listed for this composition: 24 meV/atom. The raw total energy comes out at -5.29 eV per atom. The space-group type is P1, No. 1. The value obtained for the total magnetization is 0.0000 μB per atom.


4.
Below is a relaxed structure of MgH2Ir2, with properties calculated at the PBE level. Values from VASP.

```
&SYSTEM
  ibrav = 0, nat = 10, ntyp = 3
/
ATOMIC_SPECIES
Mg 24.30 Mg.upf
H 1.01 H.upf
Ir 192.22 Ir.upf
ATOMIC_POSITIONS crystal
Mg 0.1333 0.1333 0.2906
Mg 0.8667 0.8667 0.7094
H 0.0878 0.5951 0.3888
H 0.4049 0.9122 0.6112
H 0.5951 0.0878 0.3888
H 0.9122 0.4049 0.6112
Ir 0.1797 0.1797 0.8620
Ir 0.5000 0.5000 0.0000
Ir 0.5000 0.5000 0.5000
Ir 0.8203 0.8203 0.1380
CELL_PARAMETERS angstrom
4.5178 -2.0336 0.0000
4.5178 2.0336 0.0000
-1.6493 0.0000 5.6854
```

Values from the calculation:
As for the energy relative to the lowest polymorph listed for this composition: 0 meV/atom. The raw total energy comes out at -5.31 eV per atom. The space-group type is C2/m, No. 12. The value obtained for the total magnetization is 0.0000 μB per atom.


5.
Below is a relaxed structure of Mg2H5Ir, with properties calculated at the PBE level. Values from VASP.

```
&SYSTEM
  ibrav = 0, nat = 16, ntyp = 3
/
ATOMIC_SPECIES
Mg 24.30 Mg.upf
H 1.01 H.upf
Ir 192.22 Ir.upf
ATOMIC_POSITIONS crystal
Mg 0.0000 0.5000 0.0000
Mg 0.0000 0.5000 0.5000
Mg 0.5000 0.0000 0.0000
Mg 0.5000 0.0000 0.5000
H 0.0000 0.0000 0.0058
H 0.2419 0.2419 0.7618
H 0.2419 0.7581 0.7618
H 0.2581 0.2581 0.2618
H 0.2581 0.7419 0.2618
H 0.5000 0.5000 0.5058
H 0.7419 0.2581 0.2618
H 0.7419 0.7419 0.2618
H 0.7581 0.2419 0.7618
H 0.7581 0.7581 0.7618
Ir 0.0000 0.0000 0.2477
Ir 0.5000 0.5000 0.7477
CELL_PARAMETERS angstrom
4.5618 0.0000 0.0000
0.0000 4.5618 0.0000
0.0000 0.0000 6.9894
```

Values from the calculation:
As for the energy relative to the lowest polymorph listed for this composition: 0 meV/atom. The raw total energy comes out at -3.97 eV per atom. The space-group type is I4mm, No. 107. The value obtained for the total magnetization is 0.0000 μB per atom.


6.
Below is a relaxed structure of Mg2H2Ir, with properties calculated at the PBE level. Values from VASP.

```
&SYSTEM
  ibrav = 0, nat = 10, ntyp = 3
/
ATOMIC_SPECIES
Mg 24.30 Mg.upf
H 1.01 H.upf
Ir 192.22 Ir.upf
ATOMIC_POSITIONS crystal
Mg 0.0000 0.0000 0.1439
Mg 0.0000 0.0000 0.8561
Mg 0.5000 0.5000 0.3561
Mg 0.5000 0.5000 0.6439
H 0.0000 0.5000 0.2500
H 0.0000 0.5000 0.7500
H 0.5000 0.0000 0.2500
H 0.5000 0.0000 0.7500
Ir 0.0000 0.0000 0.5000
Ir 0.5000 0.5000 0.0000
CELL_PARAMETERS angstrom
3.0024 0.0000 0.0000
0.0000 3.0024 0.0000
0.0000 0.0000 12.3861
```

Values from the calculation:
As for the energy relative to the lowest polymorph listed for this composition: 329 meV/atom. The raw total energy comes out at -3.81 eV per atom. The space-group type is I4/mmm, No. 139. The value obtained for the total magnetization is 0.0000 μB per atom.


7.
Below is a relaxed structure of MgH3Ir, with properties calculated at the PBE level. Values from VASP.

```
&SYSTEM
  ibrav = 0, nat = 20, ntyp = 3
/
ATOMIC_SPECIES
Mg 24.30 Mg.upf
H 1.01 H.upf
Ir 192.22 Ir.upf
ATOMIC_POSITIONS crystal
Mg 0.0687 0.3593 0.2984
Mg 0.3593 0.0687 0.7984
Mg 0.6407 0.9313 0.2016
Mg 0.9313 0.6407 0.7016
H 0.0695 0.8899 0.0117
H 0.1101 0.9305 0.4883
H 0.1891 0.5821 0.9649
H 0.3690 0.3739 0.4724
H 0.3739 0.3690 0.9724
H 0.4179 0.8109 0.5351
H 0.5821 0.1891 0.4649
H 0.6261 0.6310 0.0276
H 0.6310 0.6261 0.5276
H 0.8109 0.4179 0.0351
H 0.8899 0.0695 0.5117
H 0.9305 0.1101 0.9883
Ir 0.2086 0.7914 0.2500
Ir 0.4043 0.5957 0.7500
Ir 0.5957 0.4043 0.2500
Ir 0.7914 0.2086 0.7500
CELL_PARAMETERS angstrom
4.0525 -5.4379 0.0000
4.0525 5.4379 0.0000
-0.3991 0.0000 4.2152
```

Values from the calculation:
The raw total energy comes out at -4.25 eV per atom. The space-group type is C2/c, No. 15. The value obtained for the total magnetization is 0.0000 μB per atom.


8.
Below is a relaxed structure of MgH5Ir3, with properties calculated at the PBE level. Values from VASP.

```
&SYSTEM
  ibrav = 0, nat = 9, ntyp = 3
/
ATOMIC_SPECIES
Mg 24.30 Mg.upf
H 1.01 H.upf
Ir 192.22 Ir.upf
ATOMIC_POSITIONS crystal
Mg 0.0000 0.0000 0.0000
H 0.1480 0.5840 0.1926
H 0.2070 0.5484 0.7530
H 0.5926 0.1546 0.7447
H 0.6119 0.0499 0.1928
H 0.6402 0.5297 0.1659
Ir 0.3314 0.2694 0.5978
Ir 0.5941 0.8391 0.4287
Ir 0.9261 0.5210 0.4430
CELL_PARAMETERS angstrom
4.6947 0.0000 0.0000
-2.3422 4.0692 0.0000
-0.7702 -2.2470 4.4600
```

Values from the calculation:
As for the energy relative to the lowest polymorph listed for this composition: 13 meV/atom. The raw total energy comes out at -4.99 eV per atom. The space-group type is P1, No. 1. The value obtained for the total magnetization is 0.0000 μB per atom.


9.
Below is a relaxed structure of MgH5Ir3, with properties calculated at the PBE level. Values from VASP.

```
&SYSTEM
  ibrav = 0, nat = 9, ntyp = 3
/
ATOMIC_SPECIES
Mg 24.30 Mg.upf
H 1.01 H.upf
Ir 192.22 Ir.upf
ATOMIC_POSITIONS crystal
Mg 0.0000 0.0000 0.0000
H 0.1948 0.6559 0.2287
H 0.3040 0.3040 0.8008
H 0.3583 0.8301 0.7956
H 0.6559 0.1948 0.2287
H 0.8301 0.3583 0.7956
Ir 0.0120 0.0120 0.5192
Ir 0.3698 0.3698 0.5946
Ir 0.6446 0.6446 0.3992
CELL_PARAMETERS angstrom
4.2654 -2.2534 0.0000
4.2654 2.2534 0.0000
-4.0140 0.0000 4.4989
```

Values from the calculation:
As for the energy relative to the lowest polymorph listed for this composition: 18 meV/atom. The raw total energy comes out at -4.98 eV per atom. The space-group type is Cm, No. 8. The value obtained for the total magnetization is 0.0000 μB per atom.


10.
Below is a relaxed structure of Mg6HIr, with properties calculated at the PBE level. Values from VASP.

```
&SYSTEM
  ibrav = 0, nat = 8, ntyp = 3
/
ATOMIC_SPECIES
Mg 24.30 Mg.upf
H 1.01 H.upf
Ir 192.22 Ir.upf
ATOMIC_POSITIONS crystal
Mg 0.0000 0.0000 0.0000
Mg 0.0036 0.5385 0.2020
Mg 0.4552 0.9889 0.6980
Mg 0.4652 0.5347 0.0002
Mg 0.6089 0.5083 0.5142
Mg 0.9747 0.1435 0.5138
H 0.2372 0.7710 0.9567
Ir 0.5040 0.0383 0.1950
CELL_PARAMETERS angstrom
5.6129 0.0000 0.0000
-2.7475 4.8967 0.0000
-0.9727 -1.6631 5.4461
```

Values from the calculation:
As for the energy relative to the lowest polymorph listed for this composition: 45 meV/atom. The raw total energy comes out at -2.85 eV per atom. The space-group type is P1, No. 1. The value obtained for the total magnetization is 0.0000 μB per atom.